Crystalline NpFe3P2 at its relaxed geometry. Source: the Alexandria database, functional GGA-PBE.

Unit cell a=12.497 b=3.801 c=7.457 alpha=90.00 beta=113.47 gamma=90.00
Space group C2/m (No. 12)
Inequivalent atoms, fractional coordinates:
Np: 0.161 0.000 0.104
Fe: 0.003 0.000 0.682
Fe: 0.151 0.500 0.766
Fe: 0.168 0.500 0.432
P: 0.008 0.500 0.170
P: 0.160 0.000 0.590

Output
DFT formation energy: -287 kJ/mol of formula units


Crystalline PmPr2In at its relaxed geometry. Source: the Alexandria database, functional GGA-PBE.

Unit cell a=4.991 b=4.991 c=5.022 alpha=90.00 beta=90.00 gamma=90.00
Space group P4/mmm (No. 123)
Inequivalent atoms, fractional coordinates:
Pm: 0.000 0.000 0.000
Pr: 0.000 0.500 0.500
In: 0.500 0.500 0.000

Output
Offset from the most stable computed form: 0 meV per atom
DFT formation energy: -106 kJ/mol of formula units


Crystalline Y2MgBi at its relaxed geometry. Source: the Alexandria database, functional GGA-PBE.

Unit cell a=4.056 b=4.056 c=6.801 alpha=90.00 beta=90.00 gamma=90.00
Space group P4/mmm (No. 123)
Inequivalent atoms, fractional coordinates:
Y: 0.000 0.000 0.247
Mg: 0.500 0.500 0.500
Bi: 0.500 0.500 0.000

Output
Offset from the most stable computed form: 0 meV per atom
DFT formation energy: -169 kJ/mol of formula units


Crystalline Pr2SmDy3 at its relaxed geometry. Source: the Alexandria database, functional GGA-PBE.

Unit cell a=23.541 b=3.522 c=10.379 alpha=90.00 beta=108.56 gamma=90.00
Space group C2/m (No. 12)
Inequivalent atoms, fractional coordinates:
Pr: 0.067 0.000 0.137
Pr: 0.190 0.500 0.371
Sm: 0.189 0.500 0.036
Dy: 0.059 0.500 0.446
Dy: 0.069 0.000 0.762
Dy: 0.194 0.500 0.715

Output
Offset from the most stable computed form: 22 meV per atom
DFT formation energy: 70 kJ/mol of formula units


Crystalline BeAl2Hg at its relaxed geometry. Source: the Alexandria database, functional GGA-PBE.

Unit cell a=2.907 b=4.434 c=5.406 alpha=90.00 beta=90.00 gamma=90.00
Space group Pmmm (No. 47)
Inequivalent atoms, fractional coordinates:
Be: 0.000 0.000 0.000
Al: 0.000 0.500 0.500
Al: 0.500 0.000 0.500
Hg: 0.500 0.500 0.000

Output
Offset from the most stable computed form: 151 meV per atom
DFT formation energy: 160 kJ/mol of formula units


Crystalline SrMnNi2 at its relaxed geometry. Source: the Alexandria database, functional GGA-PBE.

Unit cell a=3.059 b=4.771 c=9.645 alpha=90.00 beta=90.00 gamma=90.00
Space group Imm2 (No. 44)
Inequivalent atoms, fractional coordinates:
Sr: 0.000 0.000 0.000
Mn: 0.000 0.500 0.798
Ni: 0.000 0.000 0.513
Ni: 0.000 0.500 0.217

Output
DFT formation energy: 159 kJ/mol of formula units


Crystalline NaTePI2 at its relaxed geometry. Source: the Alexandria database, functional GGA-PBE.

Unit cell a=5.777 b=5.777 c=6.260 alpha=90.00 beta=90.00 gamma=90.00
Space group P4/mmm (No. 123)
Inequivalent atoms, fractional coordinates:
Na: 0.000 0.000 0.000
Te: 0.000 0.000 0.500
P: 0.500 0.500 0.500
I: 0.000 0.500 0.000

Output
Offset from the most stable computed form: 800 meV per atom


Crystalline KTl2Hg9 at its relaxed geometry. Source: the Alexandria database, functional GGA-PBE.

Unit cell a=5.018 b=5.018 c=13.904 alpha=90.00 beta=90.00 gamma=90.00
Space group P4/mmm (No. 123)
Inequivalent atoms, fractional coordinates:
K: 0.000 0.000 0.000
Tl: 0.000 0.000 0.344
Hg: 0.000 0.500 0.180
Hg: 0.000 0.500 0.500
Hg: 0.500 0.500 0.000
Hg: 0.500 0.500 0.343

Output
Offset from the most stable computed form: 0 meV per atom
DFT formation energy: -112 kJ/mol of formula units